12
Lattice="7.1655 -0.0028 0.0022 -3.5834 6.2051 0.0022 -1.1924 -2.0646 8.0469" Properties=species:S:1:pos:R:3 comment="PBE Cs3Er2PbS6, relaxed" energy_ev_per_fu=-57.1 space_group="C2/m (12)" rho_g_cm3=5.26 crystal_system=monoclinic raw_formation_energy_kj_per_mol_atoms=-136.5 pbc="T T T"
S 2.4947 -0.0006 1.4822
S 0.0537 0.0930 6.5796
S 3.6369 1.9772 6.5690
S -1.2473 2.1605 1.4822
S 2.3359 4.0446 1.4716
S -0.1050 4.1383 6.5690
Er -0.0055 4.1387 0.0022
Er 3.5876 2.0636 0.0022
Cs 4.8173 -0.0233 4.0256
Cs 1.1948 2.0688 4.0256
Cs -2.4276 4.1609 4.0256
Pb 0.0000 0.0000 0.0000

=====

12
Lattice="-6.5600 -3.1657 -1.5602 6.3279 -3.2348 -2.2322 0.4291 -2.1449 8.4508" Properties=species:S:1:pos:R:3 comment="PBE Cs3Er2PbSe6, relaxed" energy_ev_per_fu=-52.6 space_group="C2/m (12)" rho_g_cm3=5.84 crystal_system=monoclinic raw_formation_energy_kj_per_mol_atoms=-130.8 pbc="T T T"
Cs 0.0985 -4.2727 2.3292
Cs 4.4478 -4.2960 2.1025
Cs -4.2507 -4.2494 2.5560
Se -2.2128 -1.9024 0.8048
Se -2.0669 -6.6190 4.0871
Se 2.2640 -1.9264 0.5714
Se -0.0862 -4.9710 -1.1419
Se 0.2833 -3.5743 5.8003
Se 2.4098 -6.6430 3.8537
Er -2.2722 -3.1887 -1.7837
Er 2.0401 -3.2118 -2.0086
Pb 0.0000 0.0000 0.0000

=====

12
Lattice="-0.7307 -4.1761 1.4908 9.7596 -1.2380 1.3158 -4.9457 4.5089 10.2059" Properties=species:S:1:pos:R:3 comment="PBE CsErTe3Pb, relaxed" energy_ev_per_fu=-24.6 space_group="P2_1/m (11)" rho_g_cm3=5.76 crystal_system=monoclinic raw_formation_energy_kj_per_mol_atoms=-97.6 pbc="T T T"
Te 2.9228 -3.1491 2.7715
Te -2.8633 2.4406 8.8198
Te 4.1151 0.0060 5.4205
Te 6.9465 -3.3458 4.1928
Te -0.0320 -0.9112 7.5920
Te 1.1603 2.2440 10.2410
Pb -1.6465 1.3474 6.3539
Pb 5.7297 -2.2525 6.6587
Er 5.2542 -1.1552 2.7262
Er -1.1711 0.2500 10.2864
Cs 0.6622 -0.1347 3.3340
Cs 3.4210 -0.7705 9.6786

=====

12
Lattice="7.2238 -0.0004 -0.0001 -3.6105 6.2568 -0.0001 -1.2052 -2.0868 8.0814" Properties=species:S:1:pos:R:3 comment="PBE Cs3Pm2ErS6, relaxed" energy_ev_per_fu=-63.2 space_group="C2/m (12)" rho_g_cm3=4.77 crystal_system=monoclinic raw_formation_energy_kj_per_mol_atoms=-175.6 pbc="T T T"
S 2.4399 4.2246 1.4876
S -1.1724 2.0313 1.4821
S 0.0627 4.1699 6.5990
S 2.3453 -0.0004 1.4821
S 3.5805 2.1383 6.5990
S -0.0318 -0.0551 6.5935
Cs -2.3931 4.1623 4.0406
Cs 1.2040 2.0848 4.0406
Cs 4.8012 0.0073 4.0406
Pm 0.0019 4.1705 -0.0001
Pm 3.6114 2.0859 -0.0001
Er 0.0000 0.0000 0.0000

=====

16
Lattice="-6.5206 4.6890 -2.3456 -5.6713 -7.4777 0.8174 4.4161 2.0754 6.7956" Properties=species:S:1:pos:R:3 comment="PBE Cs4Pm3ErS8, relaxed" energy_ev_per_fu=-84.3 space_group="R-3m (166)" rho_g_cm3=4.71 crystal_system=trigonal raw_formation_energy_kj_per_mol_atoms=-175.4 pbc="T T T"
S -1.0982 -2.0682 6.5536
S -6.6776 1.3549 -1.2862
S -3.3415 -1.0440 -0.0861
S -3.3576 -3.1301 3.0768
S -4.4182 2.4169 2.1906
S -1.1518 0.0519 3.3058
S -4.4343 0.3308 5.3535
S -6.6240 -0.7652 1.9616
Er -2.8356 -3.7388 0.4087
Pm -3.8879 -0.3566 2.6337
Pm -0.6276 -2.7011 3.8065
Pm -6.0959 -1.3943 -0.7641
Cs -1.0523 3.3822 2.2250
Cs 2.2080 1.0377 3.3978
Cs -3.2603 2.3445 -1.1728
Cs 0.0000 0.0000 0.0000

=====

14
Lattice="8.2364 0.0000 0.0000 4.1182 7.1330 0.0000 4.1182 2.3777 6.9498" Properties=species:S:1:pos:R:3 comment="PBE CsPmEr4S8, relaxed" energy_ev_per_fu=-82.8 space_group="R3m (160)" rho_g_cm3=4.89 crystal_system=trigonal raw_formation_energy_kj_per_mol_atoms=-178.5 pbc="T T T"
S 8.2364 7.4922 4.9801
S 10.6066 3.3869 4.9801
S 8.2364 2.2736 1.8026
S 5.8662 3.3869 4.9801
S 12.3547 7.1330 5.0775
S 4.1182 2.3777 2.2501
S 6.0872 5.9962 1.8026
S 10.3856 5.9962 1.8026
Er 6.1111 1.2270 3.5110
Er 4.1182 4.6789 3.5110
Er 8.2364 4.7553 0.8556
Er 2.1253 1.2270 3.5110
Cs 8.2364 4.7553 6.2335
Pm 4.1182 2.3777 6.8258

=====

12
Lattice="7.4157 -0.0010 0.0001 -3.7069 6.4228 0.0001 -1.2369 -2.1418 8.3788" Properties=species:S:1:pos:R:3 comment="PBE Cs3PmEr2Se6, relaxed" energy_ev_per_fu=-58.0 space_group="C2/m (12)" rho_g_cm3=5.63 crystal_system=monoclinic raw_formation_energy_kj_per_mol_atoms=-166.0 pbc="T T T"
Se 2.5331 -0.0005 1.5584
Se -1.2663 2.1938 1.5584
Se 0.0299 0.0518 6.8267
Se 2.4419 4.2282 1.5523
Se -0.0612 4.2805 6.8206
Se 3.7382 2.0862 6.8206
Er -0.0007 4.2823 0.0001
Er 3.7095 2.1395 0.0001
Cs 4.9627 -0.0123 4.1895
Cs 1.2359 2.1400 4.1895
Cs -2.4909 4.2924 4.1895
Pm 0.0000 0.0000 0.0000

=====

12
Lattice="-0.3132 -7.4418 0.8430 4.7507 4.0456 4.1538 -7.3988 2.0475 4.2122" Properties=species:S:1:pos:R:3 comment="PBE Cs3Pm2ErSe6, relaxed" energy_ev_per_fu=-58.2 space_group="C2/m (12)" rho_g_cm3=5.41 crystal_system=monoclinic raw_formation_energy_kj_per_mol_atoms=-166.4 pbc="T T T"
Se -4.8424 0.7710 4.7311
Se -3.3973 -2.8358 6.7571
Se -1.7506 0.8998 7.8337
Se 0.4360 1.4870 2.4518
Se 1.8811 -2.1198 4.4778
Se -1.2107 -2.2485 1.3752
Cs -1.4806 -0.6744 4.6045
Cs -3.1596 -4.4832 3.5067
Cs 0.1983 3.1345 5.7022
Pm 1.3755 -3.6110 1.9471
Pm 3.0620 0.2148 3.0497
Er 0.0000 0.0000 0.0000

=====

8
Lattice="-0.5363 1.9418 3.8048 -3.2963 -6.1368 2.6673 8.5454 -0.8589 1.6429" Properties=species:S:1:pos:R:3 comment="PBE Cs2PmErSe4, relaxed" energy_ev_per_fu=-38.7 space_group="P2/m (10)" rho_g_cm3=5.51 crystal_system=monoclinic raw_formation_energy_kj_per_mol_atoms=-166.1 pbc="T T T"
Cs 4.0045 0.5414 2.7238
Cs 2.6245 -3.4979 2.1551
Se 4.1544 -4.4100 5.2719
Se -0.7948 -4.5839 2.2273
Se 0.5584 -0.6440 2.8430
Se 6.0438 -2.4119 2.0828
Er -1.9163 -2.0975 3.2360
Pm 0.0000 0.0000 0.0000

=====

16
Lattice="-2.7815 -0.5838 8.7912 6.6031 -7.8946 1.5649 3.6802 7.8621 -3.1685" Properties=species:S:1:pos:R:3 comment="PBE Cs4Pm3ErTe8, relaxed" energy_ev_per_fu=-69.8 space_group="R-3m (166)" rho_g_cm3=5.41 crystal_system=trigonal raw_formation_energy_kj_per_mol_atoms=-135.0 pbc="T T T"
Cs 1.8401 3.9311 -1.5843
Cs 0.0000 0.0000 0.0000
Cs 0.4493 3.6391 2.8114
Cs -1.3908 -0.2919 4.3956
Te 1.8960 1.4049 5.5482
Te 3.2445 1.6530 1.1363
Te 7.4844 1.9924 0.0218
Te 4.2573 -2.2693 6.0513
Te 5.6058 -2.0212 1.6394
Te 1.4374 -2.3107 2.6778
Te 0.0174 -2.6087 7.1658
Te 6.0644 1.6944 4.5098
Er 3.3016 -3.9473 0.7825
Pm 1.9108 -4.2392 5.1781
Pm 5.1417 -0.0162 -0.8018
Pm 3.7509 -0.3082 3.5938

=====

15
Lattice="9.0194 0.0006 0.0004 -4.5092 7.8133 -0.0373 0.0000 -5.1669 9.2618" Properties=species:S:1:pos:R:3 comment="PBE Cs3Pm3ErTe8, relaxed" energy_ev_per_fu=-66.5 space_group="R-3m (166)" rho_g_cm3=5.16 crystal_system=trigonal raw_formation_energy_kj_per_mol_atoms=-128.4 pbc="T T T"
Te 2.2085 -1.3170 2.8634
Te 0.0002 -0.0231 6.3804
Te -2.3007 3.9636 6.3613
Te 0.0002 2.6163 2.8009
Te 4.5100 2.6700 2.8445
Te 6.8109 -1.3167 2.8636
Te 4.5100 0.0307 6.4240
Te 2.3017 3.9640 6.3615
Cs 2.2551 3.9069 -0.0185
Cs -2.2546 3.9066 -0.0186
Cs 0.0000 0.0000 0.0000
Pm 4.5097 -2.5832 4.6311
Pm 2.2551 1.3235 4.6124
Pm -2.2546 1.3232 4.6123
Er 0.0000 -2.5835 4.6309

=====

12
Lattice="5.0613 0.0000 0.0000 0.0000 9.6372 -1.1546 0.0000 -3.7539 10.9213" Properties=species:S:1:pos:R:3 comment="PBE CsPmErTe3, relaxed" energy_ev_per_fu=-27.2 space_group="P2_1/m (11)" rho_g_cm3=5.38 crystal_system=monoclinic raw_formation_energy_kj_per_mol_atoms=-121.8 pbc="T T T"
Te 1.2653 -2.1919 9.4502
Te 3.7959 4.1820 1.4123
Te 1.2653 1.7013 8.3543
Te 3.7959 8.0752 0.3164
Te 3.7959 -0.0334 5.6283
Te 1.2653 5.9167 4.1383
Pm 1.2653 5.9133 0.5072
Pm 3.7959 -0.0300 9.2594
Cs 3.7959 4.5736 7.3639
Cs 1.2653 1.3097 2.4027
Er 1.2653 -1.0287 6.7804
Er 3.7959 6.9119 2.9863